K2ZrIr: relaxed, PBE.

Cell: 3.003 5.574 6.028 Å, 90.00 90.00 90.00°
Atoms (fractional coordinates):
K: 0.000 0.241 0.000
K: 0.000 0.759 0.000
Zr: 0.500 0.500 0.500
Ir: 0.500 0.000 0.500

Results
SG = Pmmm
Formation energy = 0.86 eV/atom
Total magnetization = 1.17 μB/f.u.
Excess energy over the best structure of this formula in the dataset = 761.5 meV per atom